{
  "formula": "BaTl2Pd",
  "functional": "GGA-PBE",
  "state": "relaxed",
  "e_tot_ev_per_cell": -107.8,
  "crystal_system": "orthorhombic",
  "lattice_angstrom": [[17.452, 0.000, 0.000], [0.000, 8.490, 0.000], [0.000, 0.000, 6.197]],
  "species": ["Ba", "Ba", "Ba", "Ba", "Ba", "Ba", "Ba", "Ba", "Tl", "Tl", "Tl", "Tl", "Tl", "Tl", "Tl", "Tl", "Tl", "Tl", "Tl", "Tl", "Tl", "Tl", "Tl", "Tl", "Pd", "Pd", "Pd", "Pd", "Pd", "Pd", "Pd", "Pd"],
  "fractional_positions": [[0.104, 0.250, 0.236], [0.141, 0.750, 0.032], [0.359, 0.250, 0.532], [0.396, 0.750, 0.736], [0.604, 0.250, 0.264], [0.641, 0.750, 0.468], [0.859, 0.250, 0.968], [0.896, 0.750, 0.764], [0.039, 0.055, 0.734], [0.039, 0.445, 0.734], [0.213, 0.553, 0.528], [0.213, 0.947, 0.528], [0.287, 0.053, 0.028], [0.287, 0.447, 0.028], [0.461, 0.555, 0.234], [0.461, 0.945, 0.234], [0.539, 0.055, 0.766], [0.539, 0.445, 0.766], [0.713, 0.553, 0.972], [0.713, 0.947, 0.972], [0.787, 0.053, 0.472], [0.787, 0.447, 0.472], [0.961, 0.555, 0.266], [0.961, 0.945, 0.266], [0.072, 0.750, 0.515], [0.179, 0.250, 0.752], [0.321, 0.750, 0.252], [0.428, 0.250, 0.015], [0.572, 0.750, 0.985], [0.679, 0.250, 0.748], [0.821, 0.750, 0.248], [0.928, 0.250, 0.485]]
}

---

{
  "formula": "BaTl2Pd2",
  "functional": "GGA-PBE",
  "state": "relaxed",
  "e_tot_ev_per_cell": -37.9,
  "crystal_system": "tetragonal",
  "lattice_angstrom": [[5.050, 0.000, 0.000], [0.000, 5.050, 0.000], [0.000, 0.000, 10.695]],
  "species": ["Ba", "Ba", "Tl", "Tl", "Tl", "Tl", "Pd", "Pd", "Pd", "Pd"],
  "fractional_positions": [[0.000, 0.000, 0.000], [0.500, 0.500, 0.500], [0.000, 0.000, 0.355], [0.000, 0.000, 0.645], [0.500, 0.500, 0.145], [0.500, 0.500, 0.855], [0.000, 0.500, 0.250], [0.000, 0.500, 0.750], [0.500, 0.000, 0.250], [0.500, 0.000, 0.750]]
}